LiTa2Ag: optimized geometry, PBE-GGA.

As for the calculated formation energy: 0.336 eV/atom. The calculation puts the excess energy over the best structure of this formula in the dataset at 189 meV/atom.

The structure belongs to space group Cm (No. 8); the cell edges are 10.112, 2.795 and 5.363 Å and the angles 90.00°, 113.00° and 90.00°. The inequivalent atoms are Li at (0.000, 0.000, 0.000), Ta at (0.014, 0.500, 0.510), Ta at (0.265, 0.500, 0.423) and Ag at (0.258, 0.000, 0.933).